# 1
Mo2IrRhPb: optimized geometry, PBE.

Calculated values
Volume in Å³ per atom: 23.02
Magnetic moment in μB per formula unit: 2.2
Calculated formation energy in meV per atom: 1627

abc: 4.763 4.763 5.075
angles: 90.00 90.00 90.00
Fractional coordinates of all 5 atoms:
Mo 0.000 0.500 0.000
Mo 0.500 0.000 0.000
Ir 0.000 0.000 0.000
Rh 0.500 0.500 0.500
Pb 0.000 0.000 0.500


# 2
TaMo2IrPb: optimized geometry, PBE.

Calculated values
Volume in Å³ per atom: 23.19
Magnetic moment in μB per formula unit: 0.0
Calculated formation energy in meV per atom: 2497

abc: 4.919 4.919 4.791
angles: 90.00 90.00 90.00
Fractional coordinates of all 5 atoms:
Ta 0.000 0.000 0.000
Mo 0.000 0.500 0.500
Mo 0.500 0.000 0.500
Ir 0.500 0.500 0.000
Pb 0.500 0.500 0.500


# 3
Te2MoIrPb: optimized geometry, PBE.

Calculated values
Volume in Å³ per atom: 34.02
Magnetic moment in μB per formula unit: 4.2
Formation energy without anion corrections in meV/atom: 2253

abc: 5.661 5.661 5.308
angles: 90.00 90.00 90.00
Fractional coordinates of all 5 atoms:
Te 0.000 0.500 0.000
Te 0.500 0.000 0.000
Mo 0.000 0.000 0.500
Ir 0.500 0.500 0.500
Pb 0.000 0.000 0.000


# 4
MoIrPbW2: optimized geometry, PBE.

Calculated values
Volume in Å³ per atom: 22.42
Magnetic moment in μB per formula unit: 1.7
Calculated formation energy in meV per atom: 1827

abc: 4.818 4.818 4.828
angles: 90.00 90.00 90.00
Fractional coordinates of all 5 atoms:
Mo 0.000 0.000 0.000
Ir 0.000 0.000 0.500
Pb 0.500 0.500 0.500
W 0.000 0.500 0.000
W 0.500 0.000 0.000


# 5
Zn2MoIrPb: optimized geometry, PBE.

Calculated values
Volume in Å³ per atom: 23.92
Magnetic moment in μB per formula unit: 4.5
Calculated formation energy in meV per atom: 941

abc: 4.816 4.816 5.156
angles: 90.00 90.00 90.00
Fractional coordinates of all 5 atoms:
Zn 0.000 0.500 0.000
Zn 0.500 0.000 0.000
Mo 0.000 0.000 0.500
Ir 0.500 0.500 0.000
Pb 0.500 0.500 0.500


# 6
MoIrPd2: optimized geometry, PBE.

Calculated values
Volume in Å³ per atom: 15.30
Magnetic moment in μB per formula unit: 0.0
Calculated formation energy in meV per atom: 283
Distance to the lowest polymorph of the same formula in eV/atom: 0.000

abc: 6.256 6.256 6.256
angles: 90.00 90.00 90.00
Fractional coordinates of all 16 atoms:
Mo 0.000 0.000 0.000
Mo 0.000 0.500 0.500
Mo 0.500 0.000 0.500
Mo 0.500 0.500 0.000
Ir 0.000 0.000 0.500
Ir 0.000 0.500 0.000
Ir 0.500 0.000 0.000
Ir 0.500 0.500 0.500
Pd 0.250 0.250 0.250
Pd 0.250 0.250 0.750
Pd 0.250 0.750 0.250
Pd 0.250 0.750 0.750
Pd 0.750 0.250 0.250
Pd 0.750 0.250 0.750
Pd 0.750 0.750 0.250
Pd 0.750 0.750 0.750


# 7
MoIr2Pd: optimized geometry, PBE.

Calculated values
Volume in Å³ per atom: 14.90
Magnetic moment in μB per formula unit: 0.0
Calculated formation energy in meV per atom: -58
Distance to the lowest polymorph of the same formula in eV/atom: 0.000

abc: 3.947 3.947 3.826
angles: 90.00 90.00 90.00
Fractional coordinates of all 4 atoms:
Mo 0.000 0.000 0.000
Ir 0.000 0.500 0.500
Ir 0.500 0.000 0.500
Pd 0.500 0.500 0.000


# 8
Mo2Ir2Pd: optimized geometry, PBE.

Calculated values
Volume in Å³ per atom: 16.00
Magnetic moment in μB per formula unit: 0.0
Calculated formation energy in meV per atom: -97
Distance to the lowest polymorph of the same formula in eV/atom: 0.000

abc: 7.577 7.577 2.787
angles: 90.00 90.00 90.00
Fractional coordinates of all 10 atoms:
Mo 0.167 0.333 0.000
Mo 0.333 0.833 0.000
Mo 0.667 0.167 0.000
Mo 0.833 0.667 0.000
Ir 0.128 0.628 0.500
Ir 0.372 0.128 0.500
Ir 0.628 0.872 0.500
Ir 0.872 0.372 0.500
Pd 0.000 0.000 0.500
Pd 0.500 0.500 0.500


Repeat the third record exactly.
Te2MoIrPb: optimized geometry, PBE.

Calculated values
Volume in Å³ per atom: 34.02
Magnetic moment in μB per formula unit: 4.2
Formation energy without anion corrections in meV/atom: 2253

abc: 5.661 5.661 5.308
angles: 90.00 90.00 90.00
Fractional coordinates of all 5 atoms:
Te 0.000 0.500 0.000
Te 0.500 0.000 0.000
Mo 0.000 0.000 0.500
Ir 0.500 0.500 0.500
Pb 0.000 0.000 0.000